Entry from Alexandria via LeMat-Bulk: Sm2Tm3Mg3 after structural relaxation (GGA-PBE).

abc: 5.4240 5.4240 9.4614
angles: 73.34 73.34 60.00
Element x y z (fractional)
Mg: 0.8778 0.8778 0.3666
Mg: 0.3721 0.3721 0.8836
Mg: 0.1254 0.1254 0.6238
Tm: 0.6249 0.6249 0.1254
Tm: 0.2459 0.2459 0.2622
Tm: 0.7526 0.7526 0.7423
Sm: 0.4981 0.4981 0.5058
Sm: 0.0033 0.0033 0.9902

Properties
Its space group is R3m, No. 160. Its crystal system is trigonal. For the formation energy, the calculation gives -12 meV per atom.

***

Entry from Alexandria via LeMat-Bulk: In2FeAg after structural relaxation (GGA-PBE).

abc: 5.6150 5.6150 5.6150
angles: 147.80 122.77 67.20
Element x y z (fractional)
Fe: 0.2500 0.7500 0.5000
Ag: 0.7500 0.2500 0.5000
In: 0.4864 0.4864 0.0000
In: 0.0136 0.0136 0.0000

Properties
Its space group is Immm, No. 71. Its excess energy over the best structure of this formula in the dataset is 130 meV per atom. Its crystal system is orthorhombic. For the formation energy, the calculation gives 334 meV per atom.

***

Entry from Alexandria via LeMat-Bulk: Tb5TmTlIn2 after structural relaxation (GGA-PBE).

abc: 8.5487 8.5487 9.3985
angles: 117.05 117.05 90.00
Element x y z (fractional)
In: 0.6107 0.1107 0.0000
In: 0.3893 0.8893 0.0000
In: 0.8893 0.6107 0.0000
In: 0.1107 0.3893 0.0000
Tb: 0.5746 0.6582 0.7327
Tb: 0.4254 0.3418 0.2673
Tb: 0.3418 0.8418 0.2673
Tb: 0.8418 0.9254 0.2673
Tb: 0.5000 0.5000 0.0000
Tb: 0.1582 0.0746 0.7327
Tb: 0.0746 0.5746 0.7327
Tb: 0.0000 0.0000 0.0000
Tb: 0.6582 0.1582 0.7327
Tb: 0.9254 0.4254 0.2673
Tl: 0.7500 0.7500 0.5000
Tl: 0.2500 0.2500 0.5000
Tm: 0.2500 0.7500 0.5000
Tm: 0.7500 0.2500 0.5000

Properties
Its space group is I4/mcm, No. 140. Its crystal system is tetragonal. For the formation energy, the calculation gives -62 meV per atom.

***

Entry from Alexandria via LeMat-Bulk: CePu2U3P6 after structural relaxation (GGA-PBE).

abc: 6.8348 6.8348 6.9737
angles: 99.40 99.40 120.01
Element x y z (fractional)
U: 0.1656 0.8344 0.5000
U: 0.8344 0.1656 0.5000
U: 0.5000 0.5000 0.5000
P: 0.5772 0.9138 0.7418
P: 0.9138 0.5772 0.7418
P: 0.0862 0.4228 0.2582
P: 0.7487 0.7487 0.2566
P: 0.4228 0.0862 0.2582
P: 0.2513 0.2513 0.7434
Pu: 0.3330 0.6670 0.0000
Pu: 0.6670 0.3330 0.0000
Ce: 0.0000 0.0000 0.0000

Properties
Its space group is C2/m, No. 12. Its crystal system is monoclinic. For the formation energy, the calculation gives -1109 meV per atom.

***

Entry from Alexandria via LeMat-Bulk: ZrWSe3 after structural relaxation (GGA-PBE).

abc: 4.9236 4.9236 4.9236
angles: 90.00 90.00 90.00
Element x y z (fractional)
Se: 0.0000 0.5000 0.0000
Se: 0.5000 0.0000 0.0000
Se: 0.0000 0.0000 0.5000
Zr: 0.5000 0.5000 0.5000
W: 0.0000 0.0000 0.0000

Properties
Its space group is Pm-3m, No. 221. Its excess energy over the best structure of this formula in the dataset is 0 meV per atom. Its crystal system is cubic. As for the energy relative to the elements, uncorrected: 0.35 eV per atom.

***

Entry from Alexandria via LeMat-Bulk: TaAgBr2 after structural relaxation (GGA-PBE).

abc: 7.3110 7.3110 7.3110
angles: 155.32 141.79 46.02
Element x y z (fractional)
Ag: 0.3296 0.8296 0.5000
Br: 0.6725 0.1725 0.5000
Br: 0.9854 0.9854 0.0000
Ta: 0.5124 0.5124 0.0000

Properties
Its space group is Imm2, No. 44. Its excess energy over the best structure of this formula in the dataset is 316 meV per atom. Its crystal system is orthorhombic. As for the energy relative to the elements, uncorrected: 0.23 eV per atom.

***

Entry from Alexandria via LeMat-Bulk: BaPaBr6 after structural relaxation (GGA-PBE).

abc: 7.4721 7.4721 7.5282
angles: 97.70 97.70 117.89
Element x y z (fractional)
Br: 0.4492 0.1431 0.2665
Br: 0.1431 0.4492 0.2665
Br: 0.2468 0.2468 0.7087
Br: 0.8569 0.5508 0.7335
Br: 0.7532 0.7532 0.2913
Br: 0.5508 0.8569 0.7335
Ba: 0.0000 0.0000 0.0000
Pa: 0.5000 0.5000 0.5000

Properties
Its space group is C2/m, No. 12. Its crystal system is monoclinic. As for the energy relative to the elements, uncorrected: -1.72 eV per atom.

***

Entry from Alexandria via LeMat-Bulk: Ho3RuI3 after structural relaxation (GGA-PBE).

abc: 4.2256 8.8402 12.3106
angles: 93.66 90.00 90.00
Element x y z (fractional)
Ru: 0.7500 0.0509 0.5907
Ru: 0.2500 0.9491 0.4093
I: 0.7500 0.5719 0.6333
I: 0.2500 0.8585 0.8921
I: 0.2500 0.4281 0.3667
I: 0.7500 0.1415 0.1079
I: 0.2500 0.3500 0.8622
I: 0.7500 0.6500 0.1378
Ho: 0.7500 0.0970 0.8120
Ho: 0.7500 0.7445 0.3984
Ho: 0.2500 0.8651 0.6258
Ho: 0.7500 0.1349 0.3742
Ho: 0.2500 0.2555 0.6016
Ho: 0.2500 0.9030 0.1880

Properties
Its space group is P2_1/m, No. 11. Its crystal system is monoclinic. As for the energy relative to the elements, uncorrected: -1.00 eV per atom.

***

These records have VASP energy values of -3.47, -3.86, -4.00, -9.52, -6.04, -4.28, -4.40, -4.95 eV per atom, in the order they appear.